Material: CrHgI2O
Method: DFT, PBE with a Hubbard U
State: optimized geometry

Summary:
Its energy above the most stable polymorph in this dataset is 3.405 eV per formula unit. For the volume, the calculation gives 29.68 A^3/atom.

Lattice parameters (Å, degrees): 6.019 6.019 4.096 90.00 90.00 90.00
Positions (direct):
Cr1 0.000 0.000 0.000
Hg1 0.500 0.500 0.500
I1 0.000 0.500 0.500
I2 0.500 0.000 0.500
O1 0.500 0.500 0.000